Record 1
# AsPbW (PBE-GGA, optimized geometry)
data_AsPbW
_chemical_formula_sum 'As1 Pb1 W1'
_space_group_name_H-M_alt 'P 1'
_space_group_IT_number 1
_cell_length_a 6.9849
_cell_length_b 6.9849
_cell_length_c 6.9849
_cell_angle_alpha 153.50
_cell_angle_beta 153.50
_cell_angle_gamma 37.83
loop_
_space_group_symop_operation_xyz
'x,y,z'
loop_
_atom_site_label
_atom_site_type_symbol
_atom_site_fract_x
_atom_site_fract_y
_atom_site_fract_z
Pb1 Pb 0.3119 0.3119 0.0000
As1 As 0.0471 0.0471 0.0000
W1 W 0.6410 0.6410 0.0000
# Space group: I4mm
# Energy above the most stable polymorph in this dataset (eV/atom): 0.031
# ΔE_f (eV per atom): 0.400
# E (eV/f.u.): -20.11
# Fermi-level density of states (states/eV/f.u.): 2.40

Record 2
# Sc3NbSb (PBE-GGA, optimized geometry)
data_Sc3NbSb
_chemical_formula_sum 'Sc3 Nb1 Sb1'
_space_group_name_H-M_alt 'P 1'
_space_group_IT_number 1
_cell_length_a 5.2723
_cell_length_b 5.2723
_cell_length_c 5.2723
_cell_angle_alpha 90.00
_cell_angle_beta 90.00
_cell_angle_gamma 90.00
loop_
_space_group_symop_operation_xyz
'x,y,z'
loop_
_atom_site_label
_atom_site_type_symbol
_atom_site_fract_x
_atom_site_fract_y
_atom_site_fract_z
Sc1 Sc 0.0000 0.5000 0.0000
Sc2 Sc 0.0000 0.0000 0.5000
Sc3 Sc 0.5000 0.0000 0.0000
Sb1 Sb 0.0000 0.0000 0.0000
Nb1 Nb 0.5000 0.5000 0.5000
# Space group: Pm-3m
# Energy above the most stable polymorph in this dataset (eV/atom): 0.275
# Uncorrected formation energy (eV/atom): 0.690
# E (eV/f.u.): -29.74
# Fermi-level density of states (states/eV/f.u.): 8.06

Q: Which value of Fermi-level density of states does entry 1 give?
A: 2.40 states/eV/f.u.